First-principles (SCAN) data for a PBEsol-optimized structure of CdCuCl, as listed in the Alexandria database.

The value obtained for the relative energy among the computed polymorphs is 122.5 meV/atom. The calculation puts the total moment at 0.000 μB per atom. As for the density of states at the Fermi level: 1.4 states/eV per cell.

CIF file:
```
data_CdCuCl
_cell_length_a 3.504
_cell_length_b 5.447
_cell_length_c 11.587
_cell_angle_alpha 90.00
_cell_angle_beta 90.00
_cell_angle_gamma 90.00
_space_group_name_H-M_alt 'F m m 2'
_space_group_IT_number 42
_space_group_name_Hall 'F 2 -2'
loop_
_atom_site_label
_atom_site_type_symbol
_atom_site_fract_x
_atom_site_fract_y
_atom_site_fract_z
Cd1 Cd 0.000 0.000 0.000
Cu1 Cu 0.000 0.000 0.339
Cl1 Cl 0.000 0.000 0.705
```

---

First-principles (SCAN) data for a PBEsol-optimized structure of MgIr2Ru, as listed in the Alexandria database.

For the formation energy, the calculation gives -235 meV per atom. The calculation puts the total moment at 0.000 μB per atom. As for the density of states at the Fermi level: 2.6 states/eV per cell.

CIF file:
```
data_MgIr2Ru
_cell_length_a 2.739
_cell_length_b 2.739
_cell_length_c 7.677
_cell_angle_alpha 90.00
_cell_angle_beta 90.00
_cell_angle_gamma 90.00
_space_group_name_H-M_alt 'P 4/m m m'
_space_group_IT_number 123
_space_group_name_Hall '-P 4 2'
loop_
_atom_site_label
_atom_site_type_symbol
_atom_site_fract_x
_atom_site_fract_y
_atom_site_fract_z
Mg1 Mg 0.000 0.000 0.000
Ir1 Ir 0.500 0.500 0.265
Ru1 Ru 0.000 0.000 0.500
```

---

First-principles (SCAN) data for a PBEsol-optimized structure of Cs2KScI6, as listed in the Alexandria database.

The calculation puts the electronic total energy at -1.2287 Ha/atom. The calculation puts the total moment at 0.000 μB per atom. As for the density of states at the Fermi level: 0.0 states/eV per cell.

CIF file:
```
data_Cs2KScI6
_cell_length_a 12.230
_cell_length_b 12.230
_cell_length_c 12.230
_cell_angle_alpha 90.00
_cell_angle_beta 90.00
_cell_angle_gamma 90.00
_space_group_name_H-M_alt 'F m -3 m'
_space_group_IT_number 225
_space_group_name_Hall '-F 4 2 3'
loop_
_atom_site_label
_atom_site_type_symbol
_atom_site_fract_x
_atom_site_fract_y
_atom_site_fract_z
Cs1 Cs 0.250 0.250 0.250
K1 K 0.000 0.000 0.000
Sc1 Sc 0.000 0.000 0.500
I1 I 0.000 0.000 0.267
```

---

First-principles (SCAN) data for a PBEsol-optimized structure of NaHf2InBi, as listed in the Alexandria database.

For the formation energy, the calculation gives 887 meV per atom. The calculation puts the total moment at 0.000 μB per atom. As for the density of states at the Fermi level: 4.7 states/eV per cell.

CIF file:
```
data_NaHf2InBi
_cell_length_a 5.381
_cell_length_b 5.381
_cell_length_c 5.202
_cell_angle_alpha 90.00
_cell_angle_beta 90.00
_cell_angle_gamma 90.00
_space_group_name_H-M_alt 'P 4/m m m'
_space_group_IT_number 123
_space_group_name_Hall '-P 4 2'
loop_
_atom_site_label
_atom_site_type_symbol
_atom_site_fract_x
_atom_site_fract_y
_atom_site_fract_z
Na1 Na 0.000 0.000 0.000
Hf1 Hf 0.000 0.500 0.500
In1 In 0.500 0.500 0.000
Bi1 Bi 0.000 0.000 0.500
```

---

First-principles (SCAN) data for a PBEsol-optimized structure of NaDyPd6O8, as listed in the Alexandria database.

The calculation puts the electronic total energy at -0.7341 Ha/atom. The calculation puts the total moment at 0.000 μB per atom. As for the density of states at the Fermi level: 2.5 states/eV per cell.

CIF file:
```
data_NaDyPd6O8
_cell_length_a 5.718
_cell_length_b 5.718
_cell_length_c 5.718
_cell_angle_alpha 90.00
_cell_angle_beta 90.00
_cell_angle_gamma 90.00
_space_group_name_H-M_alt 'P m -3'
_space_group_IT_number 200
_space_group_name_Hall '-P 2 2 3'
loop_
_atom_site_label
_atom_site_type_symbol
_atom_site_fract_x
_atom_site_fract_y
_atom_site_fract_z
Na1 Na 0.000 0.000 0.000
Dy1 Dy 0.500 0.500 0.500
Pd1 Pd 0.000 0.250 0.500
O1 O 0.259 0.259 0.259
```

---

First-principles (SCAN) data for a PBEsol-optimized structure of TeCSeBr2, as listed in the Alexandria database.

The calculation puts the electronic total energy at -0.7255 Ha/atom. The calculation puts the total moment at 0.336 μB per atom. As for the density of states at the Fermi level: 4.4 states/eV per cell.

CIF file:
```
data_TeCSeBr2
_cell_length_a 5.464
_cell_length_b 5.464
_cell_length_c 5.319
_cell_angle_alpha 90.00
_cell_angle_beta 90.00
_cell_angle_gamma 90.00
_space_group_name_H-M_alt 'P 4/m m m'
_space_group_IT_number 123
_space_group_name_Hall '-P 4 2'
loop_
_atom_site_label
_atom_site_type_symbol
_atom_site_fract_x
_atom_site_fract_y
_atom_site_fract_z
Te1 Te 0.000 0.000 0.000
C1 C 0.500 0.500 0.500
Se1 Se 0.000 0.000 0.500
Br1 Br 0.000 0.500 0.000
```

---

First-principles (SCAN) data for a PBEsol-optimized structure of ZrBiP2, as listed in the Alexandria database.

For the formation energy, the calculation gives -138 meV per atom. The calculation puts the total moment at 0.000 μB per atom. As for the density of states at the Fermi level: 14.4 states/eV per cell.

CIF file:
```
data_ZrBiP2
_cell_length_a 6.236
_cell_length_b 6.236
_cell_length_c 11.505
_cell_angle_alpha 90.00
_cell_angle_beta 90.00
_cell_angle_gamma 90.00
_space_group_name_H-M_alt 'I -4 2 d'
_space_group_IT_number 122
_space_group_name_Hall 'I -4 2bw'
loop_
_atom_site_label
_atom_site_type_symbol
_atom_site_fract_x
_atom_site_fract_y
_atom_site_fract_z
Zr1 Zr 0.000 0.000 0.000
Bi1 Bi 0.000 0.000 0.500
P1 P 0.216 0.250 0.125
```

---

First-principles (SCAN) data for a PBEsol-optimized structure of Zr2Al3Cr, as listed in the Alexandria database.

For the formation energy, the calculation gives -479 meV per atom. The calculation puts the total moment at 0.403 μB per atom. As for the density of states at the Fermi level: 11.9 states/eV per cell.

CIF file:
```
data_Zr2Al3Cr
_cell_length_a 5.2454
_cell_length_b 5.2454
_cell_length_c 12.7444
_cell_angle_alpha 90.00
_cell_angle_beta 90.00
_cell_angle_gamma 120.00
_space_group_name_H-M_alt 'R -3 m'
_space_group_IT_number 166
_space_group_name_Hall '-R 3 2"'
loop_
_atom_site_label
_atom_site_type_symbol
_atom_site_fract_x
_atom_site_fract_y
_atom_site_fract_z
Zr1 Zr 0.0000 0.0000 0.1286
Al1 Al 0.0000 0.5000 0.0000
Cr1 Cr 0.0000 0.0000 0.5000
```

---

First-principles (SCAN) data for a PBEsol-optimized structure of Na2Ga2P, as listed in the Alexandria database.

For the formation energy, the calculation gives 257 meV per atom. The calculation puts the total moment at 0.000 μB per atom. As for the density of states at the Fermi level: 1.8 states/eV per cell.

CIF file:
```
data_Na2Ga2P
_cell_length_a 3.860
_cell_length_b 3.860
_cell_length_c 13.741
_cell_angle_alpha 90.00
_cell_angle_beta 90.00
_cell_angle_gamma 90.00
_space_group_name_H-M_alt 'I 4/m m m'
_space_group_IT_number 139
_space_group_name_Hall '-I 4 2'
loop_
_atom_site_label
_atom_site_type_symbol
_atom_site_fract_x
_atom_site_fract_y
_atom_site_fract_z
Na1 Na 0.000 0.500 0.250
Ga1 Ga 0.000 0.000 0.086
P1 P 0.000 0.000 0.500
```

---

First-principles (SCAN) data for a PBEsol-optimized structure of LuNiGe2, as listed in the Alexandria database.

For the formation energy, the calculation gives -749 meV per atom. The calculation puts the total moment at 0.000 μB per atom. As for the density of states at the Fermi level: 10.3 states/eV per cell.

CIF file:
```
data_LuNiGe2
_cell_length_a 4.059
_cell_length_b 8.341
_cell_length_c 15.574
_cell_angle_alpha 90.00
_cell_angle_beta 90.00
_cell_angle_gamma 90.00
_space_group_name_H-M_alt 'I m m m'
_space_group_IT_number 71
_space_group_name_Hall '-I 2 2'
loop_
_atom_site_label
_atom_site_type_symbol
_atom_site_fract_x
_atom_site_fract_y
_atom_site_fract_z
Lu1 Lu 0.000 0.000 0.204
Lu2 Lu 0.000 0.238 0.000
Ni1 Ni 0.000 0.251 0.353
Ge1 Ge 0.000 0.000 0.420
Ge2 Ge 0.000 0.342 0.197
Ge3 Ge 0.000 0.500 0.423
```

---

First-principles (SCAN) data for a PBEsol-optimized structure of SrZn2Ir, as listed in the Alexandria database.

For the formation energy, the calculation gives -372 meV per atom. The calculation puts the total moment at 0.000 μB per atom. As for the density of states at the Fermi level: 5.4 states/eV per cell.

CIF file:
```
data_SrZn2Ir
_cell_length_a 4.3372
_cell_length_b 4.3372
_cell_length_c 15.9198
_cell_angle_alpha 90.00
_cell_angle_beta 90.00
_cell_angle_gamma 120.00
_space_group_name_H-M_alt 'R 3 m'
_space_group_IT_number 160
_space_group_name_Hall 'R 3 -2"'
loop_
_atom_site_label
_atom_site_type_symbol
_atom_site_fract_x
_atom_site_fract_y
_atom_site_fract_z
Sr1 Sr 0.0000 0.0000 0.0000
Zn1 Zn 0.0000 0.0000 0.1888
Zn2 Zn 0.0000 0.0000 0.4777
Ir1 Ir 0.0000 0.0000 0.8085
```

---

First-principles (SCAN) data for a PBEsol-optimized structure of ScAlNi2, as listed in the Alexandria database.

For the formation energy, the calculation gives -608 meV per atom. The calculation puts the total moment at 0.000 μB per atom. As for the density of states at the Fermi level: 2.8 states/eV per cell.

CIF file:
```
data_ScAlNi2
_cell_length_a 2.989
_cell_length_b 2.989
_cell_length_c 6.038
_cell_angle_alpha 90.00
_cell_angle_beta 90.00
_cell_angle_gamma 90.00
_space_group_name_H-M_alt 'P 4/m m m'
_space_group_IT_number 123
_space_group_name_Hall '-P 4 2'
loop_
_atom_site_label
_atom_site_type_symbol
_atom_site_fract_x
_atom_site_fract_y
_atom_site_fract_z
Sc1 Sc 0.000 0.000 0.000
Al1 Al 0.000 0.000 0.500
Ni1 Ni 0.500 0.500 0.277
```